This record from Alexandria via LeMat-Bulk describes LiTm2C after structural relaxation. The functional is PBE-GGA.

Output
Polymorph energy (0 for the lowest one) ... 0 meV/atom
Magnetization ... 0.00 Bohr magnetons per cell
N(E_F) ... 0.8274 states/eV/atom
Calculated total energy ... -5.210 eV per atom
Space group ... P-3m1, No. 164

a = 3.4866 Å, b = 3.4866 Å, c = 8.5860 Å
α = 89.95°, β = 90.05°, γ = 119.99°
Atoms (fractional coordinates):
Tm  0.1664  0.8336  0.5949
Li  0.5000  0.5000  0.2500
Tm  0.8336  0.1664  0.9051
C  0.5000  0.5000  0.7500



This record from Alexandria via LeMat-Bulk describes LiTm3C after structural relaxation. The functional is PBE-GGA.

Output
Magnetization ... 0.00 Bohr magnetons per cell
N(E_F) ... 1.1346 states/eV/atom
Calculated total energy ... -5.000 eV per atom
Space group ... Pm-3m, No. 221

a = 4.8833 Å, b = 4.8833 Å, c = 4.8833 Å
α = 90.00°, β = 90.00°, γ = 90.00°
Atoms (fractional coordinates):
Tm  0.0000  0.0000  0.5000
Li  0.5000  0.5000  0.5000
C  0.0000  0.0000  0.0000
Tm  0.5000  0.0000  0.0000
Tm  0.0000  0.5000  0.0000



This record from Alexandria via LeMat-Bulk describes LiU2C after structural relaxation. The functional is PBE-GGA.

Output
Magnetization ... 3.21 Bohr magnetons per cell
N(E_F) ... 1.9667 states/eV/atom
Calculated total energy ... -8.266 eV per atom
Space group ... R-3m, No. 166

a = 3.1014 Å, b = 3.1014 Å, c = 9.6897 Å
α = 80.79°, β = 80.79°, γ = 60.00°
Atoms (fractional coordinates):
U  0.8867  0.8867  0.3399
C  0.5000  0.5000  0.5000
U  0.1133  0.1133  0.6601
Li  0.0000  0.0000  0.0000



This record from Alexandria via LeMat-Bulk describes LiVWC2 after structural relaxation. The functional is PBE-GGA.

Output
Magnetization ... 2.69 Bohr magnetons per cell
N(E_F) ... 0.8695 states/eV/atom
Calculated total energy ... -6.881 eV per atom
Space group ... P4/mmm, No. 123

a = 4.1290 Å, b = 4.9039 Å, c = 4.1290 Å
α = 90.00°, β = 90.00°, γ = 90.00°
Atoms (fractional coordinates):
W  0.0000  0.0000  0.0000
V  0.0000  0.5000  0.0000
C  0.0000  0.0000  0.5000
Li  0.5000  0.5000  0.5000
C  0.5000  0.0000  0.0000



This record from Alexandria via LeMat-Bulk describes LiV2ZnC after structural relaxation. The functional is PBE-GGA.

Output
Magnetization ... 6.91 Bohr magnetons per cell
N(E_F) ... 1.4162 states/eV/atom
Calculated total energy ... -4.535 eV per atom
Space group ... P4/mmm, No. 123

a = 4.9818 Å, b = 3.6002 Å, c = 4.9818 Å
α = 90.00°, β = 90.00°, γ = 90.00°
Atoms (fractional coordinates):
Zn  0.0000  0.0000  0.0000
V  0.5000  0.0000  0.0000
Li  0.5000  0.5000  0.5000
C  0.0000  0.5000  0.0000
V  0.0000  0.0000  0.5000



This record from Alexandria via LeMat-Bulk describes LiWC after structural relaxation. The functional is PBE-GGA.

Output
Magnetization ... 0.00 Bohr magnetons per cell
N(E_F) ... 0.3848 states/eV/atom
Calculated total energy ... -7.863 eV per atom
Space group ... P4/nmm, No. 129

a = 5.8487 Å, b = 5.8488 Å, c = 4.6195 Å
α = 90.01°, β = 90.00°, γ = 90.00°
Atoms (fractional coordinates):
C  0.5000  0.7500  0.4334
C  0.0000  0.7500  0.5666
C  0.0000  0.2500  0.4334
W  0.2500  0.0000  0.4999
Li  0.4997  0.7500  0.9773
Li  0.9997  0.7500  0.0227
C  0.5000  0.2500  0.5666
W  0.2500  0.5000  0.4999
W  0.7500  0.5000  0.5001
Li  0.0003  0.2500  0.9773
Li  0.5003  0.2500  0.0227
W  0.7500  0.0000  0.5001



This record from Alexandria via LeMat-Bulk describes LiW2C after structural relaxation. The functional is PBE-GGA.

Output
Magnetization ... 0.00 Bohr magnetons per cell
N(E_F) ... 1.1727 states/eV/atom
Calculated total energy ... -7.874 eV per atom
Space group ... I-42d, No. 122

a = 4.9421 Å, b = 4.9421 Å, c = 6.8268 Å
α = 68.78°, β = 68.78°, γ = 90.00°
Atoms (fractional coordinates):
C  0.7500  0.2500  0.5000
Li  0.5000  0.5000  0.0000
W  0.3750  0.2349  0.7500
W  0.8750  0.0151  0.7500
W  0.9849  0.6250  0.2500
W  0.7651  0.1250  0.2500
C  0.0000  0.0000  0.0000
Li  0.2500  0.7500  0.5000



This record from Alexandria via LeMat-Bulk describes LiY2C after structural relaxation. The functional is PBE-GGA.

Output
Magnetization ... 0.00 Bohr magnetons per cell
N(E_F) ... 0.8623 states/eV/atom
Calculated total energy ... -6.109 eV per atom
Space group ... R-3m, No. 166

a = 3.5394 Å, b = 3.5394 Å, c = 9.5953 Å
α = 79.37°, β = 79.37°, γ = 60.00°
Atoms (fractional coordinates):
C  0.5000  0.5000  0.5000
Y  0.1187  0.1187  0.6439
Li  0.0000  0.0000  0.0000
Y  0.8813  0.8813  0.3561



DFT formation energy across the listed records, respectively: -0.19, -0.09, 0.16, 1.61, 1.59, 0.17, 1.39, -0.09 eV/atom.